Entry from Alexandria via LeMat-Bulk: a relaxed structure of PrZn5CuPd2 (GGA-PBE).

D(E_F)   0.5018 states/eV per atom
VASP energy   -2.99 eV per atom
E_form   -145 meV/atom

Cell: 4.829 4.829 7.404 Å, 90.00 90.00 90.00°
Element x y z (fractional)
Pr1 0.000 0.000 0.500
Zn1 0.000 0.500 0.186
Zn2 0.500 0.000 0.186
Zn3 0.000 0.500 0.814
Zn4 0.500 0.000 0.814
Zn5 0.500 0.500 0.500
Cu1 0.000 0.000 0.000
Pd1 0.500 0.500 0.180
Pd2 0.500 0.500 0.820



Entry from Alexandria via LeMat-Bulk: a relaxed structure of AcNpSe2 (GGA-PBE).

Distance to the lowest polymorph of the same formula   0 meV/atom
D(E_F)   2.4884 states/eV per atom
VASP energy   -7.45 eV per atom
Raw formation energy   -139.1 kJ per mole of atoms

Cell: 4.266 4.266 7.501 Å, 73.48 73.48 60.00°
Last column: magnetic moment on the atom in μB.
Element x y z (fractional)
Np1 0.000 0.000 0.000  4.14
Ac1 0.500 0.500 0.500  0.04
Se1 0.742 0.742 0.775  -0.04
Se2 0.258 0.258 0.225  -0.04



Entry from Alexandria via LeMat-Bulk: a relaxed structure of TePbNO2 (GGA-PBE).

D(E_F)   0.4220 states/eV per atom
VASP energy   -4.40 eV per atom
Raw formation energy   59.6 kJ per mole of atoms

Cell: 4.269 4.269 4.491 Å, 90.00 90.00 90.00°
Element x y z (fractional)
Pb1 0.000 0.000 0.000
Te1 0.500 0.500 0.500
O1 0.000 0.500 0.000
O2 0.500 0.000 0.000
N1 0.000 0.000 0.500



Entry from Alexandria via LeMat-Bulk: a relaxed structure of Hg3BiPb6 (GGA-PBE).

Distance to the lowest polymorph of the same formula   3 meV/atom
D(E_F)   0.3300 states/eV per atom
VASP energy   -2.66 eV per atom
E_form   40 meV/atom

Cell: 4.149 11.643 13.612 Å, 111.06 90.00 90.00°
Element x y z (fractional)
Hg1 0.750 0.673 0.873
Hg2 0.250 0.327 0.127
Hg3 0.750 0.714 0.481
Hg4 0.250 0.286 0.519
Hg5 0.750 0.111 0.050
Hg6 0.250 0.889 0.950
Bi1 0.750 0.196 0.685
Bi2 0.250 0.804 0.315
Pb1 0.750 0.529 0.611
Pb2 0.250 0.471 0.389
Pb3 0.750 0.884 0.149
Pb4 0.250 0.116 0.851
Pb5 0.750 0.367 0.951
Pb6 0.250 0.633 0.049
Pb7 0.750 0.563 0.223
Pb8 0.250 0.437 0.777
Pb9 0.750 0.050 0.416
Pb10 0.250 0.950 0.584
Pb11 0.750 0.850 0.734
Pb12 0.250 0.150 0.266



Entry from Alexandria via LeMat-Bulk: a relaxed structure of Tb4Ru3Au (GGA-PBE).

D(E_F)   0.6799 states/eV per atom
VASP energy   -6.66 eV per atom
E_form   -458 meV/atom

Cell: 4.889 6.948 9.778 Å, 90.00 90.00 90.00°
Element x y z (fractional)
Ru1 0.000 0.000 0.000
Ru2 0.000 0.000 0.500
Ru3 0.500 0.000 0.750
Ru4 0.500 0.000 0.250
Ru5 0.500 0.500 0.750
Ru6 0.500 0.500 0.250
Tb1 0.500 0.758 0.000
Tb2 0.500 0.758 0.500
Tb3 0.500 0.242 0.000
Tb4 0.500 0.242 0.500
Tb5 0.000 0.758 0.750
Tb6 0.000 0.758 0.250
Tb7 0.000 0.242 0.250
Tb8 0.000 0.242 0.750
Au1 0.000 0.500 0.000
Au2 0.000 0.500 0.500



Entry from Alexandria via LeMat-Bulk: a relaxed structure of CuMo2Ru (GGA-PBE).

Distance to the lowest polymorph of the same formula   71 meV/atom
D(E_F)   1.3088 states/eV per atom
VASP energy   -8.58 eV per atom
E_form   182 meV/atom

Cell: 2.751 2.751 7.684 Å, 90.00 90.00 90.00°
Element x y z (fractional)
Cu1 0.500 0.500 0.750
Mo1 0.000 0.000 0.000
Mo2 0.000 0.000 0.500
Ru1 0.500 0.500 0.250



Entry from Alexandria via LeMat-Bulk: a relaxed structure of NdPu2Zn9 (GGA-PBE).

D(E_F)   1.1875 states/eV per atom
VASP energy   -3.95 eV per atom
E_form   -214 meV/atom

Cell: 5.402 5.402 9.347 Å, 73.20 73.20 60.00°
Last column: magnetic moment on the atom in μB.
Element x y z (fractional)
Nd1 0.000 0.000 0.000  0.00
Pu1 0.852 0.852 0.445  5.35
Pu2 0.148 0.148 0.555  5.35
Zn1 0.665 0.665 0.006  -0.01
Zn2 0.335 0.335 0.994  -0.01
Zn3 0.500 0.500 0.500  0.00
Zn4 0.416 0.416 0.246  -0.01
Zn5 0.922 0.416 0.246  -0.01
Zn6 0.416 0.922 0.246  -0.01
Zn7 0.584 0.584 0.754  -0.01
Zn8 0.584 0.078 0.754  -0.01
Zn9 0.078 0.584 0.754  -0.01



Entry from Alexandria via LeMat-Bulk: a relaxed structure of Na2HfTa (GGA-PBE).

Distance to the lowest polymorph of the same formula   3 meV/atom
D(E_F)   0.6576 states/eV per atom
VASP energy   -4.73 eV per atom
E_form   1377 meV/atom

Cell: 4.962 4.962 4.962 Å, 60.00 60.00 60.00°
Element x y z (fractional)
Na1 0.250 0.250 0.250
Na2 0.750 0.750 0.750
Hf1 0.000 0.000 0.000
Ta1 0.500 0.500 0.500



Entry from Alexandria via LeMat-Bulk: a relaxed structure of PrErPdRh (GGA-PBE).

Distance to the lowest polymorph of the same formula   34 meV/atom
D(E_F)   0.6838 states/eV per atom
VASP energy   -6.24 eV per atom
E_form   -768 meV/atom

Cell: 4.987 4.987 4.987 Å, 60.00 60.00 60.00°
Element x y z (fractional)
Pr1 0.750 0.750 0.750
Rh1 0.500 0.500 0.500
Pd1 0.000 0.000 0.000
Er1 0.250 0.250 0.250



Entry from Alexandria via LeMat-Bulk: a relaxed structure of LaEu2In (GGA-PBE).

Distance to the lowest polymorph of the same formula   101 meV/atom
D(E_F)   1.0843 states/eV per atom
VASP energy   -7.19 eV per atom
E_form   -133 meV/atom

Cell: 5.678 5.678 5.678 Å, 60.00 60.00 60.00°
Last column: magnetic moment on the atom in μB.
Element x y z (fractional)
Eu1 0.250 0.250 0.250  7.01
Eu2 0.750 0.750 0.750  7.01
In1 0.500 0.500 0.500  -0.06
La1 0.000 0.000 0.000  0.55



Entry from Alexandria via LeMat-Bulk: a relaxed structure of Cr2C (GGA-PBE).

D(E_F)   0.9126 states/eV per atom
VASP energy   -9.47 eV per atom
E_form   18 meV/atom

Cell: 4.865 4.865 4.865 Å, 90.00 90.00 90.00°
Element x y z (fractional)
Cr1 0.640 0.640 0.360
Cr2 0.360 0.360 0.640
Cr3 0.140 0.860 0.640
Cr4 0.860 0.140 0.360
Cr5 0.360 0.140 0.140
Cr6 0.640 0.860 0.860
Cr7 0.860 0.360 0.860
Cr8 0.140 0.640 0.140
C1 0.000 0.000 0.000
C2 0.500 0.500 0.000
C3 0.500 0.000 0.500
C4 0.000 0.500 0.500



Entry from Alexandria via LeMat-Bulk: a relaxed structure of AcPrNiSn (GGA-PBE).

D(E_F)   0.4727 states/eV per atom
VASP energy   -4.97 eV per atom
E_form   -302 meV/atom

Cell: 5.454 5.454 5.454 Å, 60.00 60.00 60.00°
Element x y z (fractional)
Pr1 0.500 0.500 0.500
Ni1 0.750 0.750 0.750
Ac1 0.000 0.000 0.000
Sn1 0.250 0.250 0.250



Entry from Alexandria via LeMat-Bulk: a relaxed structure of TcRhNO2 (GGA-PBE).

D(E_F)   1.0600 states/eV per atom
VASP energy   -7.05 eV per atom
Raw formation energy   13.2 kJ per mole of atoms

Cell: 3.847 3.847 3.946 Å, 90.00 90.00 90.00°
Last column: magnetic moment on the atom in μB.
Element x y z (fractional)
Rh1 0.500 0.500 0.500  1.59
Tc1 0.000 0.000 0.000  -0.11
O1 0.000 0.500 0.000  0.11
O2 0.500 0.000 0.000  0.11
N1 0.000 0.000 0.500  0.07



Entry from Alexandria via LeMat-Bulk: a relaxed structure of YBeIO2 (GGA-PBE).

Distance to the lowest polymorph of the same formula   78 meV/atom
D(E_F)   0.5427 states/eV per atom
VASP energy   -5.17 eV per atom
Raw formation energy   -80.4 kJ per mole of atoms

Cell: 4.259 4.259 6.602 Å, 90.00 90.00 90.00°
Last column: magnetic moment on the atom in μB.
Element x y z (fractional)
I1 0.000 0.000 0.500  0.00
Y1 0.000 0.000 0.000  0.01
O1 0.000 0.500 0.000  -0.38
O2 0.500 0.000 0.000  -0.38
Be1 0.500 0.500 0.500  0.00



Entry from Alexandria via LeMat-Bulk: a relaxed structure of Tb3TlPd2 (GGA-PBE).

D(E_F)   0.6146 states/eV per atom
VASP energy   -5.14 eV per atom
E_form   -697 meV/atom

Cell: 3.579 3.579 11.162 Å, 90.00 90.00 90.00°
Element x y z (fractional)
Tb1 0.000 0.000 0.000
Tb2 0.000 0.000 0.691
Tb3 0.000 0.000 0.309
Tl1 0.500 0.500 0.500
Pd1 0.500 0.500 0.841
Pd2 0.500 0.500 0.159



Entry from Alexandria via LeMat-Bulk: a relaxed structure of Y2TeOs (GGA-PBE).

D(E_F)   0.5747 states/eV per atom
VASP energy   -7.31 eV per atom
Raw formation energy   -46.7 kJ per mole of atoms

Cell: 4.141 4.141 7.615 Å, 74.28 74.28 59.91°
Element x y z (fractional)
Os1 0.750 0.750 0.750
Te1 0.250 0.250 0.250
Y1 0.013 0.013 0.961
Y2 0.487 0.487 0.539



Entry from Alexandria via LeMat-Bulk: a relaxed structure of Y8Ho4Th (GGA-PBE).

D(E_F)   1.4146 states/eV per atom
VASP energy   -5.67 eV per atom
E_form   284 meV/atom

Cell: 6.905 6.905 11.310 Å, 90.00 107.77 120.00°
Element x y z (fractional)
Y1 0.601 0.800 0.401
Y2 0.399 0.200 0.599
Y3 0.502 0.251 0.265
Y4 0.987 0.238 0.735
Y5 0.498 0.749 0.735
Y6 0.987 0.749 0.735
Y7 0.013 0.251 0.265
Y8 0.013 0.762 0.265
Ho1 0.000 0.000 0.000
Ho2 0.000 0.500 0.000
Ho3 0.500 0.500 0.000
Ho4 0.500 0.000 0.000
Th1 0.000 0.500 0.500



Entry from Alexandria via LeMat-Bulk: a relaxed structure of EuSnH (GGA-PBE).

Distance to the lowest polymorph of the same formula   97 meV/atom
D(E_F)   0.2531 states/eV per atom
VASP energy   -6.11 eV per atom

Cell: 3.356 4.037 9.768 Å, 90.00 99.89 90.00°
Last column: magnetic moment on the atom in μB.
Element x y z (fractional)
Eu1 0.927 0.750 0.854  7.02
Eu2 0.073 0.250 0.146  7.02
H1 0.465 0.250 0.929  -0.03
H2 0.535 0.750 0.071  -0.03
Sn1 0.790 0.250 0.580  -0.01
Sn2 0.210 0.750 0.420  -0.01



Entry from Alexandria via LeMat-Bulk: a relaxed structure of AlGa2Rh2 (GGA-PBE).

Distance to the lowest polymorph of the same formula   0 meV/atom
D(E_F)   0.4287 states/eV per atom
VASP energy   -5.49 eV per atom
E_form   -590 meV/atom

Cell: 6.640 6.640 3.476 Å, 90.00 90.00 90.00°
Element x y z (fractional)
Rh1 0.344 0.844 0.000
Rh2 0.844 0.656 0.000
Rh3 0.656 0.156 0.000
Rh4 0.156 0.344 0.000
Al1 0.000 0.000 0.000
Al2 0.500 0.500 0.000
Ga1 0.147 0.647 0.500
Ga2 0.647 0.853 0.500
Ga3 0.853 0.353 0.500
Ga4 0.353 0.147 0.500



Entry from Alexandria via LeMat-Bulk: a relaxed structure of Pm3TmIr3 (GGA-PBE).

Distance to the lowest polymorph of the same formula   53 meV/atom
D(E_F)   0.5398 states/eV per atom
VASP energy   -7.07 eV per atom
E_form   -599 meV/atom

Cell: 7.218 7.218 6.769 Å, 81.84 81.84 83.82°
Element x y z (fractional)
Pm1 0.702 0.702 0.492
Pm2 0.191 0.809 0.500
Pm3 0.809 0.191 0.500
Pm4 0.276 0.724 0.000
Pm5 0.724 0.276 0.000
Pm6 0.298 0.298 0.508
Tm1 0.786 0.786 0.951
Tm2 0.214 0.214 0.049
Ir1 0.947 0.947 0.212
Ir2 0.999 0.497 0.757
Ir3 0.497 0.999 0.757
Ir4 0.001 0.503 0.243
Ir5 0.503 0.001 0.243
Ir6 0.053 0.053 0.788



Entry from Alexandria via LeMat-Bulk: a relaxed structure of ErCd6 (GGA-PBE).

Distance to the lowest polymorph of the same formula   580 meV/atom
D(E_F)   0.6934 states/eV per atom
VASP energy   -0.94 eV per atom
E_form   498 meV/atom

Cell: 6.688 6.688 6.688 Å, 109.47 109.47 109.47°
Element x y z (fractional)
Er1 0.000 0.000 0.000
Cd1 0.250 0.750 0.500
Cd2 0.500 0.750 0.250
Cd3 0.250 0.500 0.750
Cd4 0.750 0.250 0.500
Cd5 0.500 0.250 0.750
Cd6 0.750 0.500 0.250



Entry from Alexandria via LeMat-Bulk: a relaxed structure of BaNd2FeS5 (GGA-PBE).

D(E_F)   0.1878 states/eV per atom
VASP energy   -6.19 eV per atom
Raw formation energy   -162.8 kJ per mole of atoms

Cell: 8.764 8.764 8.764 Å, 126.46 126.46 79.13°
Last column: magnetic moment on the atom in μB.
Element x y z (fractional)
S1 0.488 0.988 0.205  0.09
S2 0.217 0.717 0.205  0.09
S3 0.512 0.012 0.795  0.09
S4 0.012 0.217 0.500  0.09
S5 0.717 0.512 0.500  0.09
S6 0.988 0.783 0.500  0.09
S7 0.283 0.488 0.500  0.09
S8 0.783 0.283 0.795  0.09
S9 0.500 0.500 0.000  0.04
S10 0.000 0.000 0.000  0.04
Nd1 0.338 0.162 0.500  0.02
Nd2 0.162 0.662 0.824  0.02
Nd3 0.838 0.338 0.176  0.02
Nd4 0.662 0.838 0.500  0.02
Ba1 0.250 0.250 0.000  0.00
Ba2 0.750 0.750 0.000  0.00
Fe1 0.750 0.250 0.500  3.14
Fe2 0.250 0.750 0.500  3.14



Entry from Alexandria via LeMat-Bulk: a relaxed structure of Ce2Ho15Er2 (GGA-PBE).

D(E_F)   1.8962 states/eV per atom
VASP energy   -4.41 eV per atom
E_form   306 meV/atom

Cell: 8.670 8.670 8.670 Å, 79.21 79.21 79.21°
Last column: magnetic moment on the atom in μB.
Element x y z (fractional)
Ce1 0.925 0.925 0.925  -0.27
Ce2 0.075 0.075 0.075  -0.27
Ho1 0.000 0.500 0.000  -0.01
Ho2 0.000 0.000 0.500  -0.01
Ho3 0.500 0.000 0.000  -0.01
Ho4 0.304 0.000 0.696  -0.01
Ho5 0.696 0.304 0.000  -0.01
Ho6 0.000 0.696 0.304  -0.01
Ho7 0.304 0.696 0.000  -0.01
Ho8 0.000 0.304 0.696  -0.01
Ho9 0.696 0.000 0.304  -0.01
Ho10 0.366 0.853 0.366  0.00
Ho11 0.366 0.366 0.853  0.00
Ho12 0.853 0.366 0.366  0.00
Ho13 0.634 0.147 0.634  0.00
Ho14 0.634 0.634 0.147  0.00
Ho15 0.147 0.634 0.634  0.00
Er1 0.681 0.681 0.681  0.00
Er2 0.319 0.319 0.319  0.00